## w
A geometry-optimized CoPCl2 structure, computed with PBE.

SG: Pmmm
Total magnetic moment (μB/cell): 2.73
Crystal system: orthorhombic
Calculated density (g/cm³): 3.67

a = 3.0581 Å, b = 5.9006 Å, c = 4.0304 Å
α = 90.00°, β = 90.00°, γ = 90.00°
Positions (direct):
P1 0.0000 0.5000 0.5000
Co1 0.5000 0.0000 0.5000
Cl1 0.5000 0.5000 0.0000
Cl2 0.0000 0.0000 0.0000

## x
A geometry-optimized CoPCl2 structure, computed with PBE.

SG: C2/m
Total magnetic moment (μB/cell): 1.96
Crystal system: monoclinic
Calculated density (g/cm³): 3.12

a = 7.6916 Å, b = 7.6916 Å, c = 3.6901 Å
α = 88.40°, β = 88.40°, γ = 23.10°
Positions (direct):
Cl1 0.8853 0.8853 0.0326
Cl2 0.6147 0.6147 0.4674
P1 0.7500 0.7500 0.7500
Co1 0.2500 0.2500 0.2500

## y
A geometry-optimized CoPCl2 structure, computed with PBE.

SG: Cmmm
Total magnetic moment (μB/cell): 1.98
Crystal system: orthorhombic
Calculated density (g/cm³): 3.76

a = 3.7866 Å, b = 4.3364 Å, c = 4.3438 Å
α = 84.17°, β = 90.00°, γ = 90.00°
Positions (direct):
Cl1 0.0000 0.0188 0.0186
Cl2 0.0000 0.4812 0.4814
Co1 0.5000 0.2500 0.2500
P1 0.5000 0.7500 0.7500

## z
A geometry-optimized CoPCl2 structure, computed with PBE.

SG: R-3m
Total magnetic moment (μB/cell): 3.86
Crystal system: trigonal
Calculated density (g/cm³): 2.70

a = 11.0762 Å, b = 11.0762 Å, c = 11.0762 Å
α = 16.79°, β = 16.79°, γ = 16.79°
Positions (direct):
Cl1 0.5382 0.5382 0.5382
Cl2 0.9618 0.9618 0.9618
Co1 0.2500 0.2500 0.2500
P1 0.7500 0.7500 0.7500

Of them, the most stable is x and the least stable is w.